[1]
## MgNiSb2 (PBE)

Data for a relaxed MgNiSb2 crystal.

Summary:
Raw formation energy in kJ/mol of formula units: -37
Density in Mg/m³: 5.91
Magnetization in μB/cell: 0.0

Unit cell a=5.0445 b=5.0445 c=6.1868 alpha=109.80 beta=109.80 gamma=38.60
Fractional coordinates of all 4 atoms:
Mg  0.0000  0.0000  0.0000
Ni  0.7214  0.7214  0.9879
Sb  0.1697  0.1697  0.6555
Sb  0.3497  0.3497  0.3151

***

[2]
## BaCu3As3 (PBE)

Data for a relaxed BaCu3As3 crystal.

Summary:
Energy of formation in meV per atom: -332
Density in Mg/m³: 6.01
Magnetization in μB/cell: 0.0

Unit cell a=6.7354 b=6.7354 c=6.7354 alpha=90.00 beta=90.00 gamma=90.00
Fractional coordinates of all 14 atoms:
Ba  0.0000  0.0000  0.0000
Ba  0.5000  0.5000  0.5000
Cu  0.0000  0.2500  0.5000
Cu  0.0000  0.7500  0.5000
Cu  0.2500  0.5000  0.0000
Cu  0.5000  0.0000  0.2500
Cu  0.5000  0.0000  0.7500
Cu  0.7500  0.5000  0.0000
As  0.0000  0.5000  0.2500
As  0.0000  0.5000  0.7500
As  0.2500  0.0000  0.5000
As  0.5000  0.2500  0.0000
As  0.5000  0.7500  0.0000
As  0.7500  0.0000  0.5000

***

[3]
## Ga2GeN (PBE)

Data for a relaxed Ga2GeN crystal.

Summary:
Raw formation energy in kJ/mol of formula units: 202
ΔE to the lowest computed polymorph in eV per formula unit: 1.862
Density in Mg/m³: 4.56
Magnetization in μB/cell: 0.0

Unit cell a=6.8847 b=6.8847 c=6.8847 alpha=32.19 beta=32.19 gamma=32.19
Fractional coordinates of all 4 atoms:
Ga  0.0895  0.0895  0.0895
Ga  0.9105  0.9105  0.9105
Ge  0.5000  0.5000  0.5000
N  0.0000  0.0000  0.0000